Model 1:
Material: SmZnPb2
Method: DFT, PBE
State: optimized geometry

Values from the calculation:
The total magnetic moment is 0.0 μB/cell. The density of states at the Fermi level comes out at 1.58 states/eV/cell.

Unit cell a=4.782 b=4.782 c=4.560 alpha=90.00 beta=90.00 gamma=90.00
Element x y z (fractional)
Sm (0.000, 0.000, 0.000)
Zn (0.500, 0.500, 0.000)
Pb (0.000, 0.500, 0.500)
Pb (0.500, 0.000, 0.500)



Model 2:
Material: SmZnPb2
Method: DFT, PBE
State: optimized geometry

Values from the calculation:
The total magnetic moment is 0.0 μB/cell. The density of states at the Fermi level comes out at 2.35 states/eV/cell.

Unit cell a=5.978 b=5.978 c=5.978 alpha=48.33 beta=48.33 gamma=48.33
Element x y z (fractional)
Sm (0.000, 0.000, 0.000)
Zn (0.500, 0.500, 0.500)
Pb (0.231, 0.231, 0.231)
Pb (0.769, 0.769, 0.769)



model 1 is the most stable structure; the next one sits 0.210 eV/atom above it.



Model 1:
Material: Sn4Pb
Method: DFT, PBE
State: optimized geometry

Values from the calculation:
The total magnetic moment is 0.0 μB/cell. The density of states at the Fermi level comes out at 4.11 states/eV/cell.

Unit cell a=6.408 b=6.408 c=6.408 alpha=95.76 beta=95.76 gamma=143.06
Element x y z (fractional)
Sn (0.001, 0.299, 0.299)
Sn (0.299, 0.999, 0.298)
Sn (0.701, 0.001, 0.702)
Sn (0.999, 0.701, 0.701)
Pb (0.500, 0.500, 0.000)



Model 2:
Material: Sn4Pb
Method: DFT, PBE
State: optimized geometry

Values from the calculation:
The total magnetic moment is 0.0 μB/cell. The density of states at the Fermi level comes out at 4.77 states/eV/cell.

Unit cell a=5.785 b=5.785 c=5.785 alpha=90.00 beta=90.00 gamma=90.00
Element x y z (fractional)
Sn (0.000, 0.000, 0.000)
Sn (0.000, 0.500, 0.500)
Sn (0.500, 0.000, 0.500)
Sn (0.500, 0.500, 0.000)
Pb (0.500, 0.500, 0.500)



Model 3:
Material: Sn4Pb
Method: DFT, PBE
State: optimized geometry

Values from the calculation:
The total magnetic moment is 0.0 μB/cell. The density of states at the Fermi level comes out at 3.95 states/eV/cell.

Unit cell a=7.210 b=7.258 c=6.314 alpha=90.00 beta=115.94 gamma=90.00
Element x y z (fractional)
Sn (0.120, 0.249, 0.060)
Sn (0.120, 0.251, 0.560)
Sn (0.274, 0.602, 0.386)
Sn (0.274, 0.898, 0.886)
Sn (0.726, 0.102, 0.114)
Sn (0.726, 0.398, 0.614)
Sn (0.880, 0.749, 0.440)
Sn (0.880, 0.751, 0.940)
Pb (0.500, 0.000, 0.500)
Pb (0.500, 0.500, 0.000)



model 3 is the most stable structure; the next one sits 0.055 eV/atom above it.



Model 1:
Material: SnPb8
Method: DFT, PBE
State: optimized geometry

Values from the calculation:
The total magnetic moment is 0.0 μB/cell. The density of states at the Fermi level comes out at 6.39 states/eV/cell.

Unit cell a=9.101 b=9.101 c=9.101 alpha=92.15 beta=92.15 gamma=157.68
Element x y z (fractional)
Sn (0.000, 0.000, 0.000)
Pb (0.000, 0.334, 0.334)
Pb (0.000, 0.666, 0.666)
Pb (0.334, 0.000, 0.334)
Pb (0.338, 0.338, 0.676)
Pb (0.338, 0.662, 0.000)
Pb (0.662, 0.338, 0.000)
Pb (0.662, 0.662, 0.324)
Pb (0.666, 0.000, 0.666)



Model 2:
Material: SnPb8
Method: DFT, PBE
State: optimized geometry

Values from the calculation:
The total magnetic moment is 0.0 μB/cell. The density of states at the Fermi level comes out at 4.42 states/eV/cell.

Unit cell a=7.828 b=7.828 c=7.828 alpha=96.15 beta=96.15 gamma=141.80
Element x y z (fractional)
Sn (0.000, 0.000, 0.000)
Pb (0.000, 0.330, 0.330)
Pb (0.000, 0.670, 0.670)
Pb (0.330, 0.000, 0.330)
Pb (0.335, 0.335, 0.671)
Pb (0.335, 0.665, 0.000)
Pb (0.665, 0.335, 0.000)
Pb (0.665, 0.665, 0.329)
Pb (0.670, 0.000, 0.670)



model 2 is the most stable structure; the next one sits 0.030 eV/atom above it.



Model 1:
Material: SnPb5
Method: DFT, PBE
State: optimized geometry

Values from the calculation:
The total magnetic moment is 0.0 μB/cell. The density of states at the Fermi level comes out at 2.60 states/eV/cell.

Unit cell a=5.970 b=5.970 c=6.092 alpha=90.00 beta=90.00 gamma=120.81
Element x y z (fractional)
Sn (0.000, 0.000, 0.000)
Pb (0.164, 0.836, 0.500)
Pb (0.334, 0.666, 0.000)
Pb (0.500, 0.500, 0.500)
Pb (0.666, 0.334, 0.000)
Pb (0.836, 0.164, 0.500)



Model 2:
Material: SnPb5
Method: DFT, PBE
State: optimized geometry

Values from the calculation:
The total magnetic moment is 0.0 μB/cell. The density of states at the Fermi level comes out at 4.17 states/eV/cell.

Unit cell a=9.425 b=9.425 c=3.473 alpha=90.00 beta=90.00 gamma=142.67
Element x y z (fractional)
Sn (0.000, 0.000, 0.000)
Pb (0.161, 0.839, 0.500)
Pb (0.331, 0.669, 0.000)
Pb (0.500, 0.500, 0.500)
Pb (0.669, 0.331, 0.000)
Pb (0.839, 0.161, 0.500)



model 1 is the most stable structure; the next one sits 0.007 eV/atom above it.